(1)
Density functional theory data (PBE-GGA) for an optimized crystal structure of BaCr3Os.

Results
SG = Pm-3m, No. 221
Size of the total moment = 1.8 μB/f.u.
Density of states at the Fermi level = 1.708 states/eV per atom

```
BaCr3Os
1.0
4.581 0.000 0.000
0.000 4.581 0.000
0.000 0.000 4.581
Ba Cr Os
1 3 1
Direct
0.000 0.000 0.000 Ba
0.000 0.000 0.500 Cr
0.000 0.500 0.000 Cr
0.500 0.000 0.000 Cr
0.500 0.500 0.500 Os
```

---

(2)
Density functional theory data (PBE-GGA) for an optimized crystal structure of BaCrOs2.

Results
SG = R-3m, No. 166
Size of the total moment = 1.1 μB/f.u.
Density of states at the Fermi level = 0.992 states/eV per atom

```
BaCrOs2
1.0
1.460 0.843 9.837
-1.460 0.843 9.837
0.000 -1.686 9.837
Ba Cr Os
1 1 2
Direct
0.000 0.000 0.000 Ba
0.500 0.500 0.500 Cr
0.232 0.232 0.232 Os
0.768 0.768 0.768 Os
```

---

| no. | energy relative to the elements (meV/atom) |
| --- | --- |
| 1 | 3302.9 |
| 2 | 1010.7 |